# La2CdGa2Rh5

La2CdGa2Rh5 after structural relaxation (PBE-GGA, Alexandria).

a b c (Å): 3.635 10.091 10.091
angles (deg): 90.00 90.00 90.00
Sites, in units of the cell vectors:
Rh 0.500 0.713 0.432
Rh 0.500 0.287 0.568
Rh 0.500 0.568 0.713
Rh 0.500 0.213 0.068
Rh 0.500 0.932 0.213
Rh 0.500 0.500 0.000
Rh 0.500 0.432 0.287
Rh 0.500 0.787 0.932
Rh 0.500 0.068 0.787
Rh 0.500 0.000 0.500
La 0.000 0.323 0.823
La 0.000 0.177 0.323
La 0.000 0.823 0.677
La 0.000 0.677 0.177
Ga 0.000 0.379 0.121
Ga 0.000 0.621 0.879
Ga 0.000 0.879 0.379
Ga 0.000 0.121 0.621
Cd 0.000 0.500 0.500
Cd 0.000 0.000 0.000

Results
crystal system: tetragonal
SG: P4/mbm, No. 127
energy relative to the elements: -6.5 eV/f.u.
spin magnetization: 0.00 μB per cell

=====

# La2CdGa3Rh4

La2CdGa3Rh4 after structural relaxation (PBE-GGA, Alexandria).

a b c (Å): 4.327 4.327 10.584
angles (deg): 90.00 90.00 90.00
Sites, in units of the cell vectors:
Rh 0.000 0.000 0.000
Rh 0.500 0.000 0.649
Rh 0.500 0.500 0.000
Rh 0.000 0.500 0.351
Ga 0.000 0.000 0.500
Ga 0.000 0.500 0.117
Ga 0.500 0.000 0.883
La 0.500 0.000 0.237
La 0.000 0.500 0.763
Cd 0.500 0.500 0.500

Results
crystal system: tetragonal
SG: P-4m2, No. 115
energy relative to the elements: -7.2 eV/f.u.
spin magnetization: 0.00 μB per cell

=====

# La2CdGaSe5

La2CdGaSe5 after structural relaxation (PBE-GGA, Alexandria).

a b c (Å): 4.344 9.166 11.937
angles (deg): 90.00 90.00 103.71
Sites, in units of the cell vectors:
Cd 0.788 0.576 0.515
Cd 0.212 0.424 0.015
Se 0.711 0.422 0.173
Se 0.313 0.625 0.355
Se 0.501 0.002 0.274
Se 0.364 0.729 0.000
Se 0.955 0.910 0.557
Se 0.636 0.271 0.500
Se 0.289 0.578 0.673
Se 0.499 0.998 0.774
Se 0.045 0.090 0.057
Se 0.687 0.375 0.855
Ga 0.561 0.123 0.961
Ga 0.439 0.877 0.461
La 0.885 0.770 0.185
La 0.127 0.254 0.305
La 0.873 0.746 0.805
La 0.115 0.230 0.685

Results
crystal system: orthorhombic
SG: Cmc2_1, No. 36
spin magnetization: 0.00 μB per cell
ΔE_f (raw): -1.29 eV per atom

=====

# LaSmCdGa

LaSmCdGa after structural relaxation (PBE-GGA, Alexandria).

a b c (Å): 5.374 5.374 5.374
angles (deg): 60.00 60.00 60.00
Sites, in units of the cell vectors:
Ga 0.250 0.250 0.250
Sm 0.500 0.500 0.500
Cd 0.750 0.750 0.750
La 0.000 0.000 0.000

Results
crystal system: cubic
SG: F-43m, No. 216
energy relative to the elements: -1.7 eV/f.u.
spin magnetization: 0.00 μB per cell
energy relative to the lowest polymorph listed for this composition: 8 kJ/mol of formula units

=====

# LaSmCdGa

LaSmCdGa after structural relaxation (PBE-GGA, Alexandria).

a b c (Å): 3.695 3.695 7.958
angles (deg): 90.00 90.00 90.00
Sites, in units of the cell vectors:
Sm 0.500 0.500 0.589
Ga 0.000 0.000 0.369
Cd 0.000 0.000 0.842
La 0.500 0.500 0.127

Results
crystal system: tetragonal
SG: P4mm, No. 99
energy relative to the elements: -1.8 eV/f.u.
spin magnetization: 0.00 μB per cell
energy relative to the lowest polymorph listed for this composition: 0 kJ/mol of formula units

=====

# LaTbCdGa

LaTbCdGa after structural relaxation (PBE-GGA, Alexandria).

a b c (Å): 3.681 3.681 7.836
angles (deg): 90.00 90.00 90.00
Sites, in units of the cell vectors:
La 0.500 0.500 0.127
Tb 0.500 0.500 0.590
Cd 0.000 0.000 0.836
Ga 0.000 0.000 0.375

Results
crystal system: tetragonal
SG: P4mm, No. 99
energy relative to the elements: -1.8 eV/f.u.
spin magnetization: 0.00 μB per cell
energy relative to the lowest polymorph listed for this composition: 0 kJ/mol of formula units

=====

# LaTbCdGa

LaTbCdGa after structural relaxation (PBE-GGA, Alexandria).

a b c (Å): 5.337 5.337 5.337
angles (deg): 60.00 60.00 60.00
Sites, in units of the cell vectors:
Ga 0.250 0.250 0.250
La 0.500 0.500 0.500
Tb 0.000 0.000 0.000
Cd 0.750 0.750 0.750

Results
crystal system: cubic
SG: F-43m, No. 216
energy relative to the elements: -1.7 eV/f.u.
spin magnetization: 0.00 μB per cell
energy relative to the lowest polymorph listed for this composition: 10 kJ/mol of formula units

=====

# La2CdGaTc

La2CdGaTc after structural relaxation (PBE-GGA, Alexandria).

a b c (Å): 5.401 5.401 4.991
angles (deg): 90.00 90.00 90.00
Sites, in units of the cell vectors:
Cd 0.500 0.500 0.500
La 0.500 0.000 0.000
La 0.000 0.500 0.000
Ga 0.000 0.000 0.500
Tc 0.000 0.000 0.000

Results
crystal system: tetragonal
SG: P4/mmm, No. 123
energy relative to the elements: -0.9 eV/f.u.
spin magnetization: 0.00 μB per cell

=====

# La4TlCd2Ga

La4TlCd2Ga after structural relaxation (PBE-GGA, Alexandria).

a b c (Å): 5.521 5.521 9.584
angles (deg): 73.26 73.26 60.00
Sites, in units of the cell vectors:
La 0.870 0.870 0.390
La 0.130 0.130 0.610
La 0.620 0.620 0.140
La 0.380 0.380 0.860
Ga 0.500 0.500 0.500
Cd 0.747 0.747 0.760
Cd 0.253 0.253 0.240
Tl 0.000 0.000 0.000

Results
crystal system: trigonal
SG: R-3m, No. 166
energy relative to the elements: -3.3 eV/f.u.
spin magnetization: 0.00 μB per cell

=====

# La2Zn3CdGa4

La2Zn3CdGa4 after structural relaxation (PBE-GGA, Alexandria).

a b c (Å): 4.381 4.381 10.789
angles (deg): 90.00 90.00 90.00
Sites, in units of the cell vectors:
Zn 0.000 0.000 0.500
Zn 0.500 0.000 0.872
Zn 0.000 0.500 0.128
Ga 0.500 0.000 0.644
Ga 0.000 0.000 0.000
Ga 0.000 0.500 0.356
Ga 0.500 0.500 0.000
Cd 0.500 0.500 0.500
La 0.500 0.000 0.242
La 0.000 0.500 0.758

Results
crystal system: tetragonal
SG: P-4m2, No. 115
energy relative to the elements: -4.9 eV/f.u.
spin magnetization: 0.00 μB per cell

=====

# LaZnCdGa2

LaZnCdGa2 after structural relaxation (PBE-GGA, Alexandria).

a b c (Å): 4.388 4.388 6.369
angles (deg): 110.15 110.15 90.00
Sites, in units of the cell vectors:
La 0.000 0.000 0.000
Ga 0.612 0.612 0.223
Ga 0.388 0.388 0.777
Zn 0.750 0.250 0.500
Cd 0.250 0.750 0.500

Results
crystal system: tetragonal
SG: I-4m2, No. 119
energy relative to the elements: -2.3 eV/f.u.
spin magnetization: 0.00 μB per cell

=====

# Li5Cd2Ga

Li5Cd2Ga after structural relaxation (PBE-GGA, Alexandria).

a b c (Å): 4.626 4.626 7.176
angles (deg): 108.80 108.80 90.00
Sites, in units of the cell vectors:
Li 0.882 0.382 0.765
Li 0.618 0.118 0.235
Li 0.382 0.882 0.765
Li 0.118 0.618 0.235
Li 0.500 0.500 0.000
Cd 0.754 0.754 0.509
Cd 0.246 0.246 0.491
Ga 0.000 0.000 0.000

Results
crystal system: tetragonal
SG: I4/mmm, No. 139
energy relative to the elements: -1.9 eV/f.u.
spin magnetization: 0.00 μB per cell

=====

# LiCdGa2

LiCdGa2 after structural relaxation (PBE-GGA, Alexandria).

a b c (Å): 7.688 7.688 6.108
angles (deg): 51.00 51.00 90.00
Sites, in units of the cell vectors:
Ga 0.875 0.872 0.750
Ga 0.375 0.378 0.750
Ga 0.622 0.125 0.250
Ga 0.128 0.625 0.250
Cd 0.000 0.000 0.000
Cd 0.750 0.250 0.500
Li 0.250 0.750 0.500
Li 0.500 0.500 0.000

Results
crystal system: tetragonal
SG: I-42d, No. 122
energy relative to the elements: 0.1 eV/f.u.
spin magnetization: 0.00 μB per cell

=====

# Li6CdGa12

Li6CdGa12 after structural relaxation (PBE-GGA, Alexandria).

a b c (Å): 6.938 6.938 6.938
angles (deg): 91.54 91.54 91.54
Sites, in units of the cell vectors:
Cd 0.000 0.000 0.000
Ga 0.786 0.445 0.538
Ga 0.620 0.844 0.968
Ga 0.462 0.214 0.555
Ga 0.380 0.156 0.032
Ga 0.555 0.462 0.214
Ga 0.844 0.968 0.620
Ga 0.156 0.032 0.380
Ga 0.538 0.786 0.445
Ga 0.214 0.555 0.462
Ga 0.968 0.620 0.844
Ga 0.032 0.380 0.156
Ga 0.445 0.538 0.786
Li 0.115 0.275 0.724
Li 0.724 0.115 0.275
Li 0.275 0.724 0.115
Li 0.725 0.276 0.885
Li 0.885 0.725 0.276
Li 0.276 0.885 0.725

Results
crystal system: trigonal
SG: R-3, No. 148
energy relative to the elements: -3.0 eV/f.u.
spin magnetization: 0.00 μB per cell

=====

# LiCd8Ga2

LiCd8Ga2 after structural relaxation (PBE-GGA, Alexandria).

a b c (Å): 4.878 7.651 7.892
angles (deg): 61.00 81.56 72.37
Sites, in units of the cell vectors:
Ga 0.000 0.692 0.615
Ga 0.000 0.308 0.385
Cd 0.500 0.785 0.430
Cd 0.864 0.314 0.779
Cd 0.305 0.378 0.000
Cd 0.695 0.622 0.000
Cd 0.864 0.092 0.221
Cd 0.500 0.215 0.570
Cd 0.136 0.908 0.779
Cd 0.136 0.686 0.221
Li 0.500 0.000 0.000

Results
crystal system: monoclinic
SG: C2/m, No. 12
energy relative to the elements: 0.1 eV/f.u.
spin magnetization: 0.00 μB per cell

=====

# LiCdGa2

LiCdGa2 after structural relaxation (PBE-GGA, Alexandria).

a b c (Å): 4.626 5.420 11.802
angles (deg): 90.00 90.00 90.00
Sites, in units of the cell vectors:
Cd 0.250 0.574 0.922
Cd 0.250 0.074 0.578
Cd 0.750 0.426 0.078
Cd 0.750 0.926 0.422
Li 0.750 0.911 0.183
Li 0.750 0.411 0.317
Li 0.250 0.589 0.683
Li 0.250 0.089 0.817
Ga 0.250 0.065 0.060
Ga 0.250 0.097 0.299
Ga 0.750 0.435 0.560
Ga 0.250 0.565 0.440
Ga 0.750 0.403 0.799
Ga 0.750 0.935 0.940
Ga 0.750 0.903 0.701
Ga 0.250 0.597 0.201

Results
crystal system: orthorhombic
SG: Pnma, No. 62
energy relative to the elements: -0.5 eV/f.u.
spin magnetization: 0.00 μB per cell

=====

# Li3CdGa

Li3CdGa after structural relaxation (PBE-GGA, Alexandria).

a b c (Å): 4.973 4.973 4.973
angles (deg): 90.00 90.00 90.00
Sites, in units of the cell vectors:
Li 0.000 0.000 0.500
Li 0.000 0.500 0.000
Li 0.500 0.000 0.000
Cd 0.000 0.000 0.000
Ga 0.500 0.500 0.500

Results
crystal system: cubic
SG: Pm-3m, No. 221
energy relative to the elements: 1.2 eV/f.u.
spin magnetization: 0.00 μB per cell
energy relative to the lowest polymorph listed for this composition: 241 kJ/mol of formula units

=====

# Li8CdGa2

Li8CdGa2 after structural relaxation (PBE-GGA, Alexandria).

a b c (Å): 4.354 5.544 7.943
angles (deg): 92.80 105.91 90.00
Sites, in units of the cell vectors:
Li 0.312 0.105 0.623
Li 0.860 0.816 0.720
Li 0.402 0.544 0.804
Li 0.947 0.272 0.893
Li 0.140 0.184 0.280
Li 0.688 0.895 0.377
Li 0.053 0.728 0.107
Li 0.598 0.456 0.196
Ga 0.771 0.375 0.542
Ga 0.229 0.625 0.458
Cd 0.500 0.000 0.000

Results
crystal system: monoclinic
SG: C2/m, No. 12
energy relative to the elements: -2.4 eV/f.u.
spin magnetization: 0.00 μB per cell
energy relative to the lowest polymorph listed for this composition: 0 kJ/mol of formula units

=====

# Li2CdGa

Li2CdGa after structural relaxation (PBE-GGA, Alexandria).

a b c (Å): 3.031 3.031 9.332
angles (deg): 80.66 80.66 60.00
Sites, in units of the cell vectors:
Ga 0.500 0.500 0.499
Li 0.246 0.246 0.263
Li 0.088 0.088 0.737
Cd 0.666 0.666 0.001

Results
crystal system: trigonal
SG: R3m, No. 160
energy relative to the elements: -0.7 eV/f.u.
spin magnetization: 0.00 μB per cell

=====

# LiCdGa4

LiCdGa4 after structural relaxation (PBE-GGA, Alexandria).

a b c (Å): 4.580 4.820 5.795
angles (deg): 89.36 91.11 118.40
Sites, in units of the cell vectors:
Ga 0.338 0.169 0.758
Ga 0.668 0.829 0.758
Ga 0.670 0.830 0.239
Ga 0.340 0.170 0.238
Li 0.004 0.500 0.998
Cd 0.004 0.499 0.498

Results
crystal system: triclinic
SG: P-1, No. 2
energy relative to the elements: -0.5 eV/f.u.
spin magnetization: 0.00 μB per cell

=====

# Li5Cd3Ga

Li5Cd3Ga after structural relaxation (PBE-GGA, Alexandria).

a b c (Å): 6.036 6.036 10.869
angles (deg): 83.75 83.75 78.24
Sites, in units of the cell vectors:
Li 0.531 0.531 0.717
Li 0.669 0.331 0.000
Li 0.000 0.411 0.330
Li 0.589 0.000 0.670
Li 0.270 0.270 0.859
Li 0.411 0.000 0.330
Li 0.331 0.669 0.000
Li 0.000 0.589 0.670
Li 0.730 0.730 0.141
Li 0.469 0.469 0.283
Ga 0.047 0.047 0.741
Ga 0.953 0.953 0.259
Cd 0.000 0.000 0.500
Cd 0.000 0.000 0.000
Cd 0.745 0.745 0.883
Cd 0.255 0.255 0.117
Cd 0.670 0.670 0.473
Cd 0.330 0.330 0.527

Results
crystal system: monoclinic
SG: C2/m, No. 12
energy relative to the elements: -0.2 eV/f.u.
spin magnetization: 0.00 μB per cell

=====

# Li2CdGa

Li2CdGa after structural relaxation (PBE-GGA, Alexandria).

a b c (Å): 7.392 7.392 5.950
angles (deg): 51.60 51.60 90.00
Sites, in units of the cell vectors:
Li 0.375 0.386 0.750
Li 0.875 0.864 0.750
Li 0.614 0.125 0.250
Li 0.136 0.625 0.250
Ga 0.500 0.500 0.000
Ga 0.250 0.750 0.500
Cd 0.000 0.000 0.000
Cd 0.750 0.250 0.500

Results
crystal system: tetragonal
SG: I-42d, No. 122
energy relative to the elements: -0.2 eV/f.u.
spin magnetization: 0.00 μB per cell

=====

# LiCd2Ga6

LiCd2Ga6 after structural relaxation (PBE-GGA, Alexandria).

a b c (Å): 2.892 8.498 8.498
angles (deg): 120.00 90.00 90.00
Sites, in units of the cell vectors:
Ga 0.497 0.000 0.321
Ga 0.503 0.679 0.000
Ga 0.503 0.321 0.321
Ga 0.497 0.321 0.000
Ga 0.503 0.000 0.679
Ga 0.497 0.679 0.679
Cd 0.500 0.333 0.667
Cd 0.500 0.667 0.333
Li 0.000 0.000 0.000

Results
crystal system: trigonal
SG: P-31m, No. 162
energy relative to the elements: 0.1 eV/f.u.
spin magnetization: 0.00 μB per cell

=====

For reference, final energy by record: -120.1; -56.4; -85.7; -15.3; -15.4; -15.3; -15.2; -25.0; -30.3; -31.6; -15.5; -16.3; -17.5; -51.7; -15.2; -37.6; -8.5; -24.7; -8.5; -15.5; -31.1; -15.9; -21.8 eV for the cell shown.